# Ca2HgMo | Alexandria via LeMat-Bulk | GGA-PBE | relaxed
data_Ca2HgMo
_cell_length_a 7.361
_cell_length_b 7.361
_cell_length_c 7.361
_cell_angle_alpha 90.00
_cell_angle_beta 90.00
_cell_angle_gamma 90.00
_symmetry_space_group_name_H-M 'F -4 3 m'
_symmetry_Int_Tables_number 216
_symmetry_space_group_name_Hall 'F -4 2 3'
loop_
_atom_site_label
_atom_site_type_symbol
_atom_site_fract_x
_atom_site_fract_y
_atom_site_fract_z
_atom_site_occupancy
Ca1 Ca 0.000 0.000 0.000 1
Ca2 Ca 0.250 0.250 0.250 1
Hg1 Hg 0.000 0.000 0.500 1
Mo1 Mo 0.250 0.250 0.750 1
# Final energy   -3.27 eV per atom
# Energy of formation from the pure elements   0.51 eV per atom

=====

# CaHg2Mo | Alexandria via LeMat-Bulk | GGA-PBE | relaxed
data_CaHg2Mo
_cell_length_a 5.082
_cell_length_b 5.082
_cell_length_c 3.261
_cell_angle_alpha 90.00
_cell_angle_beta 90.00
_cell_angle_gamma 90.00
_symmetry_space_group_name_H-M 'P 4/m m m'
_symmetry_Int_Tables_number 123
_symmetry_space_group_name_Hall '-P 4 2'
loop_
_atom_site_label
_atom_site_type_symbol
_atom_site_fract_x
_atom_site_fract_y
_atom_site_fract_z
_atom_site_occupancy
Ca1 Ca 0.000 0.000 0.000 1
Hg1 Hg 0.000 0.500 0.500 1
Mo1 Mo 0.500 0.500 0.000 1
# Final energy   -3.08 eV per atom
# Excess energy over the best structure of this formula in the dataset   0.015 eV/atom
# Energy of formation from the pure elements   0.28 eV per atom

=====

# Ca2HgMo | Alexandria via LeMat-Bulk | GGA-PBE | relaxed
data_Ca2HgMo
_cell_length_a 3.2939
_cell_length_b 3.2939
_cell_length_c 31.5767
_cell_angle_alpha 90.00
_cell_angle_beta 90.00
_cell_angle_gamma 120.00
_symmetry_space_group_name_H-M 'R -3 m'
_symmetry_Int_Tables_number 166
_symmetry_space_group_name_Hall '-R 3 2"'
loop_
_atom_site_label
_atom_site_type_symbol
_atom_site_fract_x
_atom_site_fract_y
_atom_site_fract_z
_atom_site_occupancy
Ca1 Ca 0.0000 0.0000 0.2436 1
Hg1 Hg 0.0000 0.0000 0.0000 1
Mo1 Mo 0.0000 0.0000 0.5000 1
# Final energy   -3.30 eV per atom
# Energy of formation from the pure elements   0.49 eV per atom

=====

# Ca2HgMo2 | Alexandria via LeMat-Bulk | GGA-PBE | relaxed
data_Ca2HgMo2
_cell_length_a 3.613
_cell_length_b 3.613
_cell_length_c 19.279
_cell_angle_alpha 90.00
_cell_angle_beta 90.00
_cell_angle_gamma 90.00
_symmetry_space_group_name_H-M 'I 4/m m m'
_symmetry_Int_Tables_number 139
_symmetry_space_group_name_Hall '-I 4 2'
loop_
_atom_site_label
_atom_site_type_symbol
_atom_site_fract_x
_atom_site_fract_y
_atom_site_fract_z
_atom_site_occupancy
Ca1 Ca 0.000 0.000 0.108 1
Hg1 Hg 0.000 0.000 0.500 1
Mo1 Mo 0.000 0.500 0.250 1
# Final energy   -4.86 eV per atom
# Energy of formation from the pure elements   0.33 eV per atom

=====

# CaHg2Mo | Alexandria via LeMat-Bulk | GGA-PBE | relaxed
data_CaHg2Mo
_cell_length_a 3.2170
_cell_length_b 3.2170
_cell_length_c 29.3470
_cell_angle_alpha 90.00
_cell_angle_beta 90.00
_cell_angle_gamma 120.00
_symmetry_space_group_name_H-M 'R -3 m'
_symmetry_Int_Tables_number 166
_symmetry_space_group_name_Hall '-R 3 2"'
loop_
_atom_site_label
_atom_site_type_symbol
_atom_site_fract_x
_atom_site_fract_y
_atom_site_fract_z
_atom_site_occupancy
Ca1 Ca 0.0000 0.0000 0.0000 1
Hg1 Hg 0.0000 0.0000 0.2454 1
Mo1 Mo 0.0000 0.0000 0.5000 1
# Final energy   -2.90 eV per atom
# Excess energy over the best structure of this formula in the dataset   0.189 eV/atom
# Energy of formation from the pure elements   0.45 eV per atom

=====

# Ca2HgMo | Alexandria via LeMat-Bulk | GGA-PBE | relaxed
data_Ca2HgMo
_cell_length_a 8.255
_cell_length_b 8.255
_cell_length_c 6.254
_cell_angle_alpha 90.00
_cell_angle_beta 90.00
_cell_angle_gamma 90.00
_symmetry_space_group_name_H-M 'I -4 2 d'
_symmetry_Int_Tables_number 122
_symmetry_space_group_name_Hall 'I -4 2bw'
loop_
_atom_site_label
_atom_site_type_symbol
_atom_site_fract_x
_atom_site_fract_y
_atom_site_fract_z
_atom_site_occupancy
Ca1 Ca 0.246 0.250 0.125 1
Hg1 Hg 0.000 0.000 0.000 1
Mo1 Mo 0.000 0.000 0.500 1
# Final energy   -3.10 eV per atom
# Energy of formation from the pure elements   0.68 eV per atom

=====

# CaHgMo3 | Alexandria via LeMat-Bulk | GGA-PBE | relaxed
data_CaHgMo3
_cell_length_a 4.660
_cell_length_b 4.660
_cell_length_c 4.660
_cell_angle_alpha 90.00
_cell_angle_beta 90.00
_cell_angle_gamma 90.00
_symmetry_space_group_name_H-M 'P m -3 m'
_symmetry_Int_Tables_number 221
_symmetry_space_group_name_Hall '-P 4 2 3'
loop_
_atom_site_label
_atom_site_type_symbol
_atom_site_fract_x
_atom_site_fract_y
_atom_site_fract_z
_atom_site_occupancy
Ca1 Ca 0.000 0.000 0.000 1
Hg1 Hg 0.500 0.500 0.500 1
Mo1 Mo 0.000 0.000 0.500 1
# Final energy   -4.45 eV per atom
# Excess energy over the best structure of this formula in the dataset   0.330 eV/atom
# Energy of formation from the pure elements   2.51 eV per atom

=====

# Ca2HgMo | Alexandria via LeMat-Bulk | GGA-PBE | relaxed
data_Ca2HgMo
_cell_length_a 3.770
_cell_length_b 4.843
_cell_length_c 6.199
_cell_angle_alpha 90.00
_cell_angle_beta 107.60
_cell_angle_gamma 90.00
_symmetry_space_group_name_H-M 'P 1 m 1'
_symmetry_Int_Tables_number 6
loop_
_symmetry_equiv_pos_as_xyz
'x,y,z'
'x,-y,z'
loop_
_atom_site_label
_atom_site_type_symbol
_atom_site_fract_x
_atom_site_fract_y
_atom_site_fract_z
_atom_site_occupancy
Ca1 Ca 0.000 0.000 0.000 1
Ca2 Ca 0.307 0.500 0.617 1
Hg1 Hg 0.590 0.500 0.179 1
Mo1 Mo 0.717 0.000 0.436 1
# Final energy   -3.41 eV per atom
# Energy of formation from the pure elements   0.37 eV per atom